No. 1
Computed, not measured: a relaxed structure of Th3InTc at the PBE level of DFT.

Output
* energy of formation: -90.3 kJ/mol of formula units
* energy above the most stable polymorph in this dataset: 0.00 kJ/mol of atoms

Geometry as CIF:
```
data_Th3InTc
_space_group_name_H-M_alt 'P 1'
_space_group_IT_number 1
_space_group_name_Hall 'P 1'
_cell_length_a 6.117
_cell_length_b 6.117
_cell_length_c 8.995
_cell_angle_alpha 101.48
_cell_angle_beta 101.48
_cell_angle_gamma 114.49
loop_
_atom_site_label
_atom_site_type_symbol
_atom_site_fract_x
_atom_site_fract_y
_atom_site_fract_z
_atom_site_occupancy
Tc1 Tc 0.750 0.750 0.000 1
Tc2 Tc 0.250 0.250 0.000 1
Th1 Th 0.307 0.807 0.115 1
Th2 Th 0.297 0.437 0.734 1
Th3 Th 0.937 0.797 0.734 1
Th4 Th 0.063 0.203 0.266 1
Th5 Th 0.703 0.563 0.266 1
Th6 Th 0.693 0.193 0.885 1
In1 In 0.710 0.210 0.500 1
In2 In 0.290 0.790 0.500 1
```

No. 2
Computed, not measured: a relaxed structure of GaGe3Rh at the PBE level of DFT.

Output
* energy of formation: 455.5 kJ/mol of formula units
* energy above the most stable polymorph in this dataset: 70.88 kJ/mol of atoms

Geometry as CIF:
```
data_GaGe3Rh
_space_group_name_H-M_alt 'P 1'
_space_group_IT_number 1
_space_group_name_Hall 'P 1'
_cell_length_a 4.774
_cell_length_b 4.774
_cell_length_c 4.774
_cell_angle_alpha 90.00
_cell_angle_beta 90.00
_cell_angle_gamma 90.00
loop_
_atom_site_label
_atom_site_type_symbol
_atom_site_fract_x
_atom_site_fract_y
_atom_site_fract_z
_atom_site_occupancy
Ge1 Ge 0.000 0.000 0.500 1
Ge2 Ge 0.000 0.500 0.000 1
Ge3 Ge 0.500 0.000 0.000 1
Rh1 Rh 0.500 0.500 0.500 1
Ga1 Ga 0.000 0.000 0.000 1
```

No. 3
Computed, not measured: a relaxed structure of KY2Pb at the PBE level of DFT.

Output
* energy of formation: 9.4 kJ/mol of formula units

Geometry as CIF:
```
data_KY2Pb
_space_group_name_H-M_alt 'P 1'
_space_group_IT_number 1
_space_group_name_Hall 'P 1'
_cell_length_a 3.592
_cell_length_b 3.592
_cell_length_c 11.357
_cell_angle_alpha 90.00
_cell_angle_beta 90.00
_cell_angle_gamma 90.06
loop_
_atom_site_label
_atom_site_type_symbol
_atom_site_fract_x
_atom_site_fract_y
_atom_site_fract_z
_atom_site_occupancy
Y1 Y 0.000 0.000 0.935 1
Y2 Y 0.000 0.000 0.565 1
Pb1 Pb 0.500 0.500 0.750 1
K1 K 0.500 0.500 0.250 1
```

No. 4
Computed, not measured: a relaxed structure of NdGaS2 at the PBE level of DFT.

Geometry as CIF:
```
data_NdGaS2
_space_group_name_H-M_alt 'P 1'
_space_group_IT_number 1
_space_group_name_Hall 'P 1'
_cell_length_a 4.135
_cell_length_b 5.683
_cell_length_c 7.912
_cell_angle_alpha 110.39
_cell_angle_beta 90.00
_cell_angle_gamma 90.00
loop_
_atom_site_label
_atom_site_type_symbol
_atom_site_fract_x
_atom_site_fract_y
_atom_site_fract_z
_atom_site_occupancy
Ga1 Ga 0.250 0.208 0.690 1
Ga2 Ga 0.750 0.792 0.310 1
S1 S 0.750 0.210 0.926 1
S2 S 0.750 0.234 0.427 1
S3 S 0.250 0.790 0.074 1
S4 S 0.250 0.766 0.573 1
Nd1 Nd 0.250 0.351 0.206 1
Nd2 Nd 0.750 0.649 0.794 1
```

No. 5
Computed, not measured: a relaxed structure of SrAlI at the PBE level of DFT.

Geometry as CIF:
```
data_SrAlI
_space_group_name_H-M_alt 'P 1'
_space_group_IT_number 1
_space_group_name_Hall 'P 1'
_cell_length_a 4.099
_cell_length_b 4.099
_cell_length_c 12.969
_cell_angle_alpha 90.00
_cell_angle_beta 90.00
_cell_angle_gamma 90.00
loop_
_atom_site_label
_atom_site_type_symbol
_atom_site_fract_x
_atom_site_fract_y
_atom_site_fract_z
_atom_site_occupancy
I1 I 0.000 0.500 0.152 1
I2 I 0.500 0.000 0.848 1
Al1 Al 0.500 0.500 0.500 1
Al2 Al 0.000 0.000 0.500 1
Sr1 Sr 0.000 0.500 0.716 1
Sr2 Sr 0.500 0.000 0.284 1
```

No. 6
Computed, not measured: a relaxed structure of Na2PrI6 at the PBE level of DFT.

Geometry as CIF:
```
data_Na2PrI6
_space_group_name_H-M_alt 'P 1'
_space_group_IT_number 1
_space_group_name_Hall 'P 1'
_cell_length_a 4.868
_cell_length_b 6.930
_cell_length_c 13.123
_cell_angle_alpha 73.40
_cell_angle_beta 79.31
_cell_angle_gamma 69.44
loop_
_atom_site_label
_atom_site_type_symbol
_atom_site_fract_x
_atom_site_fract_y
_atom_site_fract_z
_atom_site_occupancy
I1 I 0.630 0.751 0.988 1
I2 I 0.370 0.249 0.012 1
I3 I 0.016 0.236 0.733 1
I4 I 0.664 0.244 0.427 1
I5 I 0.984 0.764 0.267 1
I6 I 0.336 0.756 0.573 1
Pr1 Pr 0.000 0.500 0.500 1
Na1 Na 0.222 0.726 0.830 1
Na2 Na 0.778 0.274 0.170 1
```

No. 7
Computed, not measured: a relaxed structure of LaTaAu2 at the PBE level of DFT.

Output
* energy of formation: 62.3 kJ/mol of formula units
* energy above the most stable polymorph in this dataset: 35.21 kJ/mol of atoms

Geometry as CIF:
```
data_LaTaAu2
_space_group_name_H-M_alt 'P 1'
_space_group_IT_number 1
_space_group_name_Hall 'P 1'
_cell_length_a 9.614
_cell_length_b 9.614
_cell_length_c 9.614
_cell_angle_alpha 19.79
_cell_angle_beta 19.79
_cell_angle_gamma 19.79
loop_
_atom_site_label
_atom_site_type_symbol
_atom_site_fract_x
_atom_site_fract_y
_atom_site_fract_z
_atom_site_occupancy
Au1 Au 0.258 0.258 0.258 1
Au2 Au 0.002 0.002 0.002 1
Ta1 Ta 0.740 0.740 0.740 1
La1 La 0.500 0.500 0.500 1
```

No. 8
Computed, not measured: a relaxed structure of LiAs4Pb at the PBE level of DFT.

Output
* energy of formation: 57.5 kJ/mol of formula units

Geometry as CIF:
```
data_LiAs4Pb
_space_group_name_H-M_alt 'P 1'
_space_group_IT_number 1
_space_group_name_Hall 'P 1'
_cell_length_a 5.722
_cell_length_b 5.722
_cell_length_c 5.722
_cell_angle_alpha 60.00
_cell_angle_beta 60.00
_cell_angle_gamma 60.00
loop_
_atom_site_label
_atom_site_type_symbol
_atom_site_fract_x
_atom_site_fract_y
_atom_site_fract_z
_atom_site_occupancy
As1 As 0.376 0.376 0.873 1
As2 As 0.873 0.376 0.376 1
As3 As 0.376 0.376 0.376 1
As4 As 0.376 0.873 0.376 1
Li1 Li 0.750 0.750 0.750 1
Pb1 Pb 0.000 0.000 0.000 1
```

No. 9
Computed, not measured: a relaxed structure of Sc5SnRh4 at the PBE level of DFT.

Output
* energy of formation: -891.3 kJ/mol of formula units

Geometry as CIF:
```
data_Sc5SnRh4
_space_group_name_H-M_alt 'P 1'
_space_group_IT_number 1
_space_group_name_Hall 'P 1'
_cell_length_a 3.165
_cell_length_b 3.165
_cell_length_c 18.053
_cell_angle_alpha 90.00
_cell_angle_beta 90.00
_cell_angle_gamma 90.00
loop_
_atom_site_label
_atom_site_type_symbol
_atom_site_fract_x
_atom_site_fract_y
_atom_site_fract_z
_atom_site_occupancy
Sc1 Sc 0.500 0.500 0.315 1
Sc2 Sc 0.500 0.500 0.685 1
Sc3 Sc 0.500 0.500 0.500 1
Sc4 Sc 0.500 0.500 0.129 1
Sc5 Sc 0.500 0.500 0.871 1
Sn1 Sn 0.000 0.000 0.000 1
Rh1 Rh 0.000 0.000 0.592 1
Rh2 Rh 0.000 0.000 0.408 1
Rh3 Rh 0.000 0.000 0.780 1
Rh4 Rh 0.000 0.000 0.220 1
```

No. 10
Computed, not measured: a relaxed structure of PrNd2YTm2 at the PBE level of DFT.

Output
* energy of formation: 36.9 kJ/mol of formula units

Geometry as CIF:
```
data_PrNd2YTm2
_space_group_name_H-M_alt 'P 1'
_space_group_IT_number 1
_space_group_name_Hall 'P 1'
_cell_length_a 5.681
_cell_length_b 9.879
_cell_length_c 7.076
_cell_angle_alpha 90.00
_cell_angle_beta 90.00
_cell_angle_gamma 90.00
loop_
_atom_site_label
_atom_site_type_symbol
_atom_site_fract_x
_atom_site_fract_y
_atom_site_fract_z
_atom_site_occupancy
Nd1 Nd 0.500 0.167 0.747 1
Nd2 Nd 0.000 0.333 0.247 1
Nd3 Nd 0.000 0.667 0.753 1
Nd4 Nd 0.500 0.833 0.253 1
Pr1 Pr 0.500 0.500 0.500 1
Pr2 Pr 0.000 0.000 0.000 1
Tm1 Tm 0.500 0.833 0.750 1
Tm2 Tm 0.000 0.333 0.750 1
Tm3 Tm 0.500 0.167 0.250 1
Tm4 Tm 0.000 0.667 0.250 1
Y1 Y 0.500 0.500 0.000 1
Y2 Y 0.000 0.000 0.500 1
```

Summary of VASP energy in Ry/atom
-0.5336, -0.2868, -0.3241, -0.3965, -0.2277, -0.2148, -0.4169, -0.2894, -0.5461, -0.3594
(order as listed above)
Summary of ρ in kg/m³
10598, 5961, 4807, 5299, 3681, 3982, 13306, 6441, 6933, 7160
(order as listed above)